Co3Ru: relaxed, PBE-GGA.

The density of states at the Fermi level comes out at 11.797 states/eV/cell. The value obtained for the electronic total energy is -7.419 eV per atom. Its magnetization is 6.17 μB per formula unit.

The structure belongs to space group Immm (No. 71); the cell edges are 2.667, 4.264 and 8.461 Å and the angles 90.00°, 90.00° and 90.00°. Symmetry generates all atoms from Co at (0.000, 0.000, 0.000), Co at (0.000, 0.500, 0.261) and Ru at (0.000, 0.000, 0.500).